# TaFeAsO2 | Alexandria | GGA+U | relaxed
# V   77.7 Å³/cell
# Fermi-level density of states   0.55 states/eV per atom
# Spin magnetization   3.76 μB per cell
# Crystal system   tetragonal
# Energy   -32.517 eV per cell
data_TaFeAsO2
_chemical_formula_sum 'Ta1 Fe1 As1 O2'
_cell_length_a 3.6668
_cell_length_b 3.6668
_cell_length_c 5.7784
_cell_angle_alpha 90.00
_cell_angle_beta 90.00
_cell_angle_gamma 90.00
_space_group_name_H-M_alt 'P 4/m m m'
_space_group_IT_number 123
_space_group_name_Hall '-P 4 2'
loop_
_atom_site_label
_atom_site_type_symbol
_atom_site_fract_x
_atom_site_fract_y
_atom_site_fract_z
_atom_site_occupancy
Ta1 Ta 0.0000 0.0000 0.0000 1
Fe1 Fe 0.0000 0.0000 0.5000 1
As1 As 0.5000 0.5000 0.0000 1
O1 O 0.0000 0.5000 0.5000 1